SmYTlTe3: optimized geometry, PBE-GGA.

It has space group Cmcm (No. 63), with a = 4.4255 Å, b = 15.2996 Å, c = 12.1475 Å, α = 90.00°, β = 90.00° and γ = 90.00°. Symmetry generates all atoms from Sm at (0.0000, 0.0743, 0.2500), Y at (0.0000, 0.5000, 0.0000), Tl at (0.0000, 0.2395, 0.7500), Te at (0.0000, 0.1436, 0.0205) and Te at (0.0000, 0.4376, 0.2500).

The crystal system is orthorhombic. As for the relative energy among the computed polymorphs: 0.11 eV/f.u.

NdGaNO: optimized geometry, PBE-GGA.

It has space group P4/nmm (No. 129, origin choice 2), with a = 3.9982 Å, b = 3.9982 Å, c = 7.6616 Å, α = 90.00°, β = 90.00° and γ = 90.00°. Symmetry generates all atoms from Nd at (0.2500, 0.2500, 0.1541), Ga at (0.2500, 0.7500, 0.5000), N at (0.2500, 0.2500, 0.6123) and O at (0.2500, 0.7500, 0.0000).

The crystal system is tetragonal. As for the relative energy among the computed polymorphs: 0.47 eV/f.u.